[1]
This record from the Alexandria database describes a geometry-optimized Sr2LaSnO structure. The functional is PBE.

SG = No. 123
energy = -4.90 eV per atom
ΔE_f (raw) = -1.452 eV/atom

Unit cell a=5.149 b=5.149 c=5.089 alpha=90.00 beta=90.00 gamma=90.00
Positions (direct):
Sr (0.000, 0.500, 0.000)
Sr (0.500, 0.000, 0.000)
Sn (0.500, 0.500, 0.500)
O (0.000, 0.000, 0.000)
La (0.000, 0.000, 0.500)

---

[2]
This record from the Alexandria database describes a geometry-optimized Tb2Tm3In2 structure. The functional is PBE.

SG = No. 166
formation energy = -1.913 eV per formula unit
energy = -4.30 eV per atom
E above lowest polymorph = 0 meV per atom

Unit cell a=5.345 b=5.344 c=8.543 alpha=108.25 beta=90.00 gamma=120.01
Positions (direct):
Tb (0.924, 0.848, 0.273)
Tb (0.076, 0.152, 0.727)
Tm (0.500, 0.000, 0.000)
Tm (0.652, 0.305, 0.457)
Tm (0.348, 0.695, 0.543)
In (0.783, 0.567, 0.850)
In (0.217, 0.433, 0.150)

---

[3]
This record from the Alexandria database describes a geometry-optimized GaSnHgPb structure. The functional is PBE.

SG = No. 99
formation energy = 0.176 eV per formula unit
energy = -2.72 eV per atom
E above lowest polymorph = 0 meV per atom

Unit cell a=3.550 b=3.550 c=8.285 alpha=90.00 beta=90.00 gamma=90.00
Positions (direct):
Ga (0.500, 0.500, 0.318)
Sn (0.000, 0.000, 0.542)
Hg (0.000, 0.000, 0.099)
Pb (0.500, 0.500, 0.826)

---

[4]
This record from the Alexandria database describes a geometry-optimized NiBSbTe2 structure. The functional is PBE.

SG = No. 123
energy = -3.45 eV per atom
E above lowest polymorph = 130 meV per atom
ΔE_f (raw) = 1.124 eV/atom

Unit cell a=5.171 b=5.171 c=4.774 alpha=90.00 beta=90.00 gamma=90.00
Positions (direct):
Sb (0.000, 0.000, 0.500)
B (0.500, 0.500, 0.500)
Te (0.000, 0.500, 0.000)
Te (0.500, 0.000, 0.000)
Ni (0.000, 0.000, 0.000)

---

[5]
This record from the Alexandria database describes a geometry-optimized LaTb3Sm2 structure. The functional is PBE.

SG = No. 15
formation energy = 0.106 eV per formula unit
energy = -4.69 eV per atom
E above lowest polymorph = 0 meV per atom

Unit cell a=6.257 b=6.266 c=12.511 alpha=99.56 beta=70.58 gamma=119.96
Positions (direct):
La (0.166, 0.332, 0.250)
La (0.834, 0.668, 0.750)
Tb (0.669, 0.333, 0.000)
Tb (0.168, 0.335, 0.750)
Tb (0.664, 0.333, 0.500)
Tb (0.832, 0.665, 0.250)
Tb (0.331, 0.667, 0.000)
Tb (0.336, 0.667, 0.500)
Sm (0.000, 0.000, 0.000)
Sm (0.000, 0.000, 0.500)
Sm (0.500, 0.000, 0.250)
Sm (0.500, 0.000, 0.750)

---

[6]
This record from the Alexandria database describes a geometry-optimized SrLa2BiC structure. The functional is PBE.

SG = No. 123
formation energy = -2.129 eV per formula unit
energy = -5.35 eV per atom

Unit cell a=5.210 b=5.210 c=5.406 alpha=90.00 beta=90.00 gamma=90.00
Positions (direct):
Sr (0.000, 0.000, 0.500)
C (0.000, 0.000, 0.000)
Bi (0.500, 0.500, 0.500)
La (0.000, 0.500, 0.000)
La (0.500, 0.000, 0.000)

---

[7]
This record from the Alexandria database describes a geometry-optimized TbHoEr2Tl2 structure. The functional is PBE.

SG = No. 26
formation energy = -1.588 eV per formula unit
energy = -4.11 eV per atom

Unit cell a=5.071 b=6.794 c=9.921 alpha=90.00 beta=90.00 gamma=90.00
Positions (direct):
Tb (0.000, 0.961, 0.458)
Tb (0.000, 0.461, 0.542)
Ho (0.500, 0.179, 0.689)
Ho (0.500, 0.679, 0.311)
Er (0.500, 0.053, 0.043)
Er (0.000, 0.337, 0.186)
Er (0.500, 0.553, 0.957)
Er (0.000, 0.837, 0.814)
Tl (0.000, 0.299, 0.868)
Tl (0.500, 0.217, 0.365)
Tl (0.000, 0.799, 0.132)
Tl (0.500, 0.717, 0.635)

---

[8]
This record from the Alexandria database describes a geometry-optimized Cs2NbN structure. The functional is PBE.

SG = No. 122
energy = -4.61 eV per atom
ΔE_f (raw) = 0.411 eV/atom

Unit cell a=9.718 b=9.718 c=9.718 alpha=92.52 beta=92.52 gamma=155.80
Site moments in Bohr magnetons follow the coordinates.
Positions (direct):
Cs (0.679, 0.375, 0.804)  0.03
Cs (0.571, 0.875, 0.196)  0.03
Cs (0.125, 0.321, 0.696)  0.03
Cs (0.625, 0.429, 0.304)  0.03
Nb (0.000, 0.000, 0.000)  1.62
Nb (0.250, 0.750, 0.500)  1.62
N (0.500, 0.500, 0.000)  -0.12
N (0.750, 0.250, 0.500)  -0.12

---

[9]
This record from the Alexandria database describes a geometry-optimized Ca5CdNi2 structure. The functional is PBE.

SG = No. 140
formation energy = -1.500 eV per formula unit
energy = -3.00 eV per atom

Unit cell a=7.710 b=7.710 c=9.237 alpha=114.67 beta=114.67 gamma=90.00
Positions (direct):
Ca (0.538, 0.697, 0.735)
Ca (0.803, 0.962, 0.265)
Ca (0.000, 0.000, 0.000)
Ca (0.500, 0.500, 0.000)
Ca (0.197, 0.038, 0.735)
Ca (0.697, 0.197, 0.735)
Ca (0.038, 0.538, 0.735)
Ca (0.303, 0.803, 0.265)
Ca (0.962, 0.462, 0.265)
Ca (0.462, 0.303, 0.265)
Cd (0.750, 0.750, 0.500)
Cd (0.250, 0.250, 0.500)
Ni (0.110, 0.390, 0.000)
Ni (0.610, 0.110, 0.000)
Ni (0.390, 0.890, 0.000)
Ni (0.890, 0.610, 0.000)

---

[10]
This record from the Alexandria database describes a geometry-optimized CaTmPt2 structure. The functional is PBE.

SG = No. 123
formation energy = -4.567 eV per formula unit
energy = -5.78 eV per atom
E above lowest polymorph = 0 meV per atom

Unit cell a=3.449 b=3.449 c=7.033 alpha=90.00 beta=90.00 gamma=90.00
Positions (direct):
Ca (0.500, 0.500, 0.500)
Tm (0.500, 0.500, 0.000)
Pt (0.000, 0.000, 0.772)
Pt (0.000, 0.000, 0.228)

---

[11]
This record from the Alexandria database describes a geometry-optimized CaMg2Ga structure. The functional is PBE.

SG = No. 166
formation energy = 0.602 eV per formula unit
energy = -1.90 eV per atom

Unit cell a=3.300 b=3.300 c=11.225 alpha=81.55 beta=81.55 gamma=60.00
Positions (direct):
Ca (0.000, 0.000, 0.000)
Mg (0.098, 0.098, 0.705)
Mg (0.902, 0.902, 0.295)
Ga (0.500, 0.500, 0.500)

---

[12]
This record from the Alexandria database describes a geometry-optimized AsIrOF2 structure. The functional is PBE.

SG = No. 123
energy = -4.40 eV per atom
E above lowest polymorph = 217 meV per atom
ΔE_f (raw) = 0.039 eV/atom

Unit cell a=4.141 b=4.141 c=4.203 alpha=90.00 beta=90.00 gamma=90.00
Site moments in Bohr magnetons follow the coordinates.
Positions (direct):
As (0.000, 0.000, 0.000)  0.00
Ir (0.500, 0.500, 0.500)  1.88
O (0.000, 0.000, 0.500)  0.07
F (0.000, 0.500, 0.000)  0.02
F (0.500, 0.000, 0.000)  0.02

---

[13]
This record from the Alexandria database describes a geometry-optimized Cs2TlCdHg2 structure. The functional is PBE.

SG = No. 72
formation energy = -0.924 eV per formula unit
energy = -1.09 eV per atom

Unit cell a=7.322 b=7.973 c=10.147 alpha=113.13 beta=111.15 gamma=90.00
Positions (direct):
Cs (0.672, 0.917, 0.343)
Cs (0.172, 0.426, 0.343)
Cs (0.828, 0.574, 0.657)
Cs (0.328, 0.083, 0.657)
Tl (0.250, 0.000, 0.000)
Tl (0.750, 0.000, 0.000)
Cd (0.750, 0.500, 0.000)
Cd (0.250, 0.500, 0.000)
Hg (0.408, 0.640, 0.815)
Hg (0.592, 0.360, 0.185)
Hg (0.092, 0.825, 0.185)
Hg (0.908, 0.175, 0.815)

---

[14]
This record from the Alexandria database describes a geometry-optimized DyThPa2P4 structure. The functional is PBE.

SG = No. 10
formation energy = -11.486 eV per formula unit
energy = -8.02 eV per atom

Unit cell a=4.025 b=6.957 c=6.968 alpha=70.47 beta=90.00 gamma=90.00
Positions (direct):
Dy (0.500, 0.500, 0.000)
Th (0.000, 0.500, 0.500)
Pa (0.000, 0.000, 0.000)
Pa (0.500, 0.000, 0.500)
P (0.000, 0.758, 0.752)
P (0.000, 0.242, 0.248)
P (0.500, 0.760, 0.242)
P (0.500, 0.240, 0.758)

---

[15]
This record from the Alexandria database describes a geometry-optimized Y2PuSn structure. The functional is PBE.

SG = No. 166
formation energy = -0.588 eV per formula unit
energy = -7.96 eV per atom
E above lowest polymorph = 171 meV per atom

Unit cell a=3.514 b=3.514 c=11.022 alpha=80.83 beta=80.83 gamma=60.00
Site moments in Bohr magnetons follow the coordinates.
Positions (direct):
Y (0.254, 0.254, 0.239)  0.06
Y (0.746, 0.746, 0.761)  0.06
Sn (0.000, 0.000, 0.000)  0.02
Pu (0.500, 0.500, 0.500)  5.52

---

[16]
This record from the Alexandria database describes a geometry-optimized ErFeCo structure. The functional is PBE.

SG = No. 92
formation energy = 0.634 eV per formula unit
energy = -6.50 eV per atom

Unit cell a=6.261 b=6.261 c=5.614 alpha=90.00 beta=90.00 gamma=90.00
Positions (direct):
Co (0.369, 0.369, 0.000)
Co (0.631, 0.631, 0.500)
Co (0.131, 0.869, 0.250)
Co (0.869, 0.131, 0.750)
Fe (0.627, 0.373, 0.750)
Fe (0.873, 0.873, 0.500)
Fe (0.127, 0.127, 0.000)
Fe (0.373, 0.627, 0.250)
Er (0.750, 0.250, 0.250)
Er (0.750, 0.750, 0.000)
Er (0.250, 0.250, 0.500)
Er (0.250, 0.750, 0.750)

---

[17]
This record from the Alexandria database describes a geometry-optimized NpAgPdAu structure. The functional is PBE.

SG = No. 216
formation energy = -0.321 eV per formula unit
energy = -6.15 eV per atom

Unit cell a=4.851 b=4.851 c=4.851 alpha=60.00 beta=60.00 gamma=60.00
Site moments in Bohr magnetons follow the coordinates.
Positions (direct):
Np (0.500, 0.500, 0.500)  3.71
Au (0.250, 0.250, 0.250)  -0.04
Pd (0.750, 0.750, 0.750)  -0.11
Ag (0.000, 0.000, 0.000)  0.00

---

[18]
This record from the Alexandria database describes a geometry-optimized Ac2PrNi structure. The functional is PBE.

SG = No. 123
formation energy = -0.105 eV per formula unit
energy = -4.72 eV per atom
E above lowest polymorph = 102 meV per atom

Unit cell a=3.751 b=3.751 c=9.376 alpha=90.00 beta=90.00 gamma=90.00
Positions (direct):
Pr (0.500, 0.500, 0.500)
Ni (0.500, 0.500, 0.000)
Ac (0.000, 0.000, 0.812)
Ac (0.000, 0.000, 0.188)

---

[19]
This record from the Alexandria database describes a geometry-optimized AlCoSb2Br structure. The functional is PBE.

SG = No. 123
energy = -3.09 eV per atom
ΔE_f (raw) = 1.061 eV/atom

Unit cell a=5.703 b=4.273 c=5.703 alpha=90.00 beta=90.00 gamma=90.00
Site moments in Bohr magnetons follow the coordinates.
Positions (direct):
Sb (0.000, 0.000, 0.500)  -0.01
Sb (0.500, 0.000, 0.000)  -0.01
Co (0.000, 0.500, 0.000)  1.17
Al (0.500, 0.500, 0.500)  -0.01
Br (0.000, 0.000, 0.000)  0.01

---

[20]
This record from the Alexandria database describes a geometry-optimized LaCu2P structure. The functional is PBE.

SG = No. 119
formation energy = -0.938 eV per formula unit
energy = -4.87 eV per atom

Unit cell a=4.728 b=4.728 c=4.728 alpha=119.81 beta=119.81 gamma=90.33
Positions (direct):
Cu (0.000, 0.000, 0.000)
Cu (0.250, 0.750, 0.500)
La (0.500, 0.500, 0.000)
P (0.750, 0.250, 0.500)